1.
CaLaHo2Cd4 | GGA-PBE | relaxed

Unit cell a=5.378 b=5.378 c=9.333 alpha=73.26 beta=73.26 gamma=60.00
Fractional positions:
La (0.000, 0.000, 0.000)
Cd (0.623, 0.623, 0.130)
Ho (0.249, 0.249, 0.254)
Ho (0.751, 0.751, 0.746)
Cd (0.377, 0.377, 0.870)
Ca (0.500, 0.500, 0.500)
Cd (0.874, 0.874, 0.377)
Cd (0.126, 0.126, 0.623)

Output
- Space group: No. 166
- ΔH_f (0 K): -319 meV/atom
- Total magnetic moment: 0.00 μB/f.u.


2.
KZnCl2 | GGA-PBE | relaxed

Unit cell a=5.198 b=5.198 c=5.198 alpha=60.00 beta=60.00 gamma=60.00
Last column: magnetic moment on the atom in μB.
Fractional positions:
K (0.000, 0.000, 0.000)  0.00
Cl (0.250, 0.250, 0.250)  0.10
Cl (0.750, 0.750, 0.750)  0.10
Zn (0.500, 0.500, 0.500)  0.29

Output
- Space group: No. 225
- Formation energy from raw total energies: -0.91 eV/atom
- E above lowest polymorph: 0.223 eV per atom
- Total magnetic moment: 0.77 μB/f.u.


3.
PrSmZnPt | GGA-PBE | relaxed

Unit cell a=5.143 b=5.143 c=5.143 alpha=60.00 beta=60.00 gamma=60.00
Fractional positions:
Zn (0.250, 0.250, 0.250)
Pr (0.000, 0.000, 0.000)
Sm (0.500, 0.500, 0.500)
Pt (0.750, 0.750, 0.750)

Output
- Space group: No. 216
- ΔH_f (0 K): -669 meV/atom
- E above lowest polymorph: 0.057 eV per atom
- Total magnetic moment: 0.00 μB/f.u.


4.
KGa2SCl | GGA-PBE | relaxed

Unit cell a=4.868 b=8.590 c=4.868 alpha=90.00 beta=90.00 gamma=90.00
Fractional positions:
K (0.500, 0.500, 0.500)
S (0.000, 0.000, 0.000)
Cl (0.000, 0.500, 0.000)
Ga (0.500, 0.000, 0.000)
Ga (0.000, 0.000, 0.500)

Output
- Space group: No. 123
- Formation energy from raw total energies: -0.40 eV/atom
- Total magnetic moment: 0.00 μB/f.u.


| no. | uncorrected energy (eV per cell) |
| --- | --- |
| 1 | -22.30 |
| 2 | -9.69 |
| 3 | -19.49 |
| 4 | -15.13 |